# 1
# BaInPb4 | Alexandria via LeMat-Bulk | PBE-GGA | optimized geometry
data_BaInPb4
_cell_length_a 6.3101
_cell_length_b 6.3136
_cell_length_c 11.1240
_cell_angle_alpha 104.60
_cell_angle_beta 104.57
_cell_angle_gamma 96.05
_space_group_name_H-M_alt 'P 1'
_space_group_IT_number 1
loop_
_space_group_symop_operation_xyz
'x,y,z'
loop_
_atom_site_label
_atom_site_type_symbol
_atom_site_fract_x
_atom_site_fract_y
_atom_site_fract_z
Ba1 Ba 0.2345 0.2664 0.0000
Ba2 Ba 0.7655 0.7336 0.0000
In1 In 0.0000 0.5000 0.5000
In2 In 0.5000 0.0000 0.5000
Pb1 Pb 0.0579 0.0959 0.6546
Pb2 Pb 0.1741 0.6756 0.7944
Pb3 Pb 0.3829 0.8846 0.2056
Pb4 Pb 0.4057 0.4439 0.3454
Pb5 Pb 0.5943 0.5561 0.6546
Pb6 Pb 0.6171 0.1154 0.7944
Pb7 Pb 0.8259 0.3244 0.2056
Pb8 Pb 0.9421 0.9041 0.3454
# E_form (eV per atom): -0.141
# Uncorrected energy (eV per atom): -3.390
# N(E_F) (states/eV/f.u.): 3.064



# 2
# BaIn4Pb | Alexandria via LeMat-Bulk | PBE-GGA | optimized geometry
data_BaIn4Pb
_cell_length_a 6.4008
_cell_length_b 6.4008
_cell_length_c 6.4008
_cell_angle_alpha 60.00
_cell_angle_beta 60.00
_cell_angle_gamma 60.00
_space_group_name_H-M_alt 'P 1'
_space_group_IT_number 1
loop_
_space_group_symop_operation_xyz
'x,y,z'
loop_
_atom_site_label
_atom_site_type_symbol
_atom_site_fract_x
_atom_site_fract_y
_atom_site_fract_z
Ba1 Ba 0.0000 0.0000 0.0000
In1 In 0.1280 0.6240 0.6240
In2 In 0.6240 0.1280 0.6240
In3 In 0.6240 0.6240 0.1280
In4 In 0.6240 0.6240 0.6240
Pb1 Pb 0.2500 0.2500 0.2500
# E_form (eV per atom): -0.176
# Uncorrected energy (eV per atom): -2.940
# N(E_F) (states/eV/f.u.): 5.468



# 3
# Ba2In3Pb4 | Alexandria via LeMat-Bulk | PBE-GGA | optimized geometry
data_Ba2In3Pb4
_cell_length_a 9.6832
_cell_length_b 9.6832
_cell_length_c 9.4946
_cell_angle_alpha 90.00
_cell_angle_beta 90.00
_cell_angle_gamma 137.62
_space_group_name_H-M_alt 'P 1'
_space_group_IT_number 1
loop_
_space_group_symop_operation_xyz
'x,y,z'
loop_
_atom_site_label
_atom_site_type_symbol
_atom_site_fract_x
_atom_site_fract_y
_atom_site_fract_z
Ba1 Ba 0.1139 0.8861 0.9166
Ba2 Ba 0.3861 0.6139 0.4166
Ba3 Ba 0.6139 0.3861 0.5834
Ba4 Ba 0.8861 0.1139 0.0834
In1 In 0.0000 0.0000 0.5000
In2 In 0.0237 0.4763 0.7500
In3 In 0.4763 0.0237 0.2500
In4 In 0.5000 0.5000 0.0000
In5 In 0.5237 0.9763 0.7500
In6 In 0.9763 0.5237 0.2500
Pb1 Pb 0.1797 0.8203 0.5309
Pb2 Pb 0.1932 0.3068 0.7500
Pb3 Pb 0.3068 0.1932 0.2500
Pb4 Pb 0.3203 0.6797 0.0309
Pb5 Pb 0.6797 0.3203 0.9691
Pb6 Pb 0.6932 0.8068 0.7500
Pb7 Pb 0.8068 0.6932 0.2500
Pb8 Pb 0.8203 0.1797 0.4691
# E_form (eV per atom): -0.328
# Uncorrected energy (eV per atom): -3.317
# N(E_F) (states/eV/f.u.): 5.047



# 4
# Ba2InPb2 | Alexandria via LeMat-Bulk | PBE-GGA | optimized geometry
data_Ba2InPb2
_cell_length_a 7.0919
_cell_length_b 7.0919
_cell_length_c 12.3903
_cell_angle_alpha 114.81
_cell_angle_beta 114.81
_cell_angle_gamma 43.36
_space_group_name_H-M_alt 'P 1'
_space_group_IT_number 1
loop_
_space_group_symop_operation_xyz
'x,y,z'
loop_
_atom_site_label
_atom_site_type_symbol
_atom_site_fract_x
_atom_site_fract_y
_atom_site_fract_z
Ba1 Ba 0.9996 0.9996 0.1690
Ba2 Ba 0.0004 0.0004 0.8310
Ba3 Ba 0.1790 0.1790 0.6089
Ba4 Ba 0.8210 0.8210 0.3911
In1 In 0.3002 0.3002 0.1546
In2 In 0.6998 0.6998 0.8454
Pb1 Pb 0.3455 0.3455 0.9285
Pb2 Pb 0.4672 0.4672 0.6102
Pb3 Pb 0.5328 0.5328 0.3898
Pb4 Pb 0.6545 0.6545 0.0715
# E_form (eV per atom): -0.513
# Uncorrected energy (eV per atom): -3.313
# N(E_F) (states/eV/f.u.): 1.310



# 5
# BaInPb2 | Alexandria via LeMat-Bulk | PBE-GGA | optimized geometry
data_BaInPb2
_cell_length_a 4.9494
_cell_length_b 4.9494
_cell_length_c 5.6785
_cell_angle_alpha 90.00
_cell_angle_beta 90.00
_cell_angle_gamma 90.00
_space_group_name_H-M_alt 'P 1'
_space_group_IT_number 1
loop_
_space_group_symop_operation_xyz
'x,y,z'
loop_
_atom_site_label
_atom_site_type_symbol
_atom_site_fract_x
_atom_site_fract_y
_atom_site_fract_z
Ba1 Ba 0.0000 0.0000 0.0000
In1 In 0.5000 0.5000 0.1438
Pb1 Pb 0.0000 0.5000 0.5134
Pb2 Pb 0.5000 0.0000 0.5134
# E_form (eV per atom): -0.329
# Uncorrected energy (eV per atom): -3.348
# N(E_F) (states/eV/f.u.): 2.382



# 6
# BaIn2Pb2 | Alexandria via LeMat-Bulk | PBE-GGA | optimized geometry
data_BaIn2Pb2
_cell_length_a 7.7590
_cell_length_b 7.7590
_cell_length_c 7.7590
_cell_angle_alpha 142.23
_cell_angle_beta 142.23
_cell_angle_gamma 54.48
_space_group_name_H-M_alt 'P 1'
_space_group_IT_number 1
loop_
_space_group_symop_operation_xyz
'x,y,z'
loop_
_atom_site_label
_atom_site_type_symbol
_atom_site_fract_x
_atom_site_fract_y
_atom_site_fract_z
Ba1 Ba 0.0000 0.0000 0.0000
In1 In 0.2500 0.7500 0.5000
In2 In 0.7500 0.2500 0.5000
Pb1 Pb 0.3846 0.3846 0.0000
Pb2 Pb 0.6154 0.6154 0.0000
# E_form (eV per atom): -0.258
# Uncorrected energy (eV per atom): -3.221
# N(E_F) (states/eV/f.u.): 1.961



# 7
# BaInPb2 | Alexandria via LeMat-Bulk | PBE-GGA | optimized geometry
data_BaInPb2
_cell_length_a 10.9112
_cell_length_b 10.9112
_cell_length_c 10.9112
_cell_angle_alpha 20.49
_cell_angle_beta 20.49
_cell_angle_gamma 20.49
_space_group_name_H-M_alt 'P 1'
_space_group_IT_number 1
loop_
_space_group_symop_operation_xyz
'x,y,z'
loop_
_atom_site_label
_atom_site_type_symbol
_atom_site_fract_x
_atom_site_fract_y
_atom_site_fract_z
Ba1 Ba 0.0000 0.0000 0.0000
In1 In 0.5000 0.5000 0.5000
Pb1 Pb 0.2390 0.2390 0.2390
Pb2 Pb 0.7610 0.7610 0.7610
# E_form (eV per atom): -0.073
# Uncorrected energy (eV per atom): -3.092
# N(E_F) (states/eV/f.u.): 2.452



# 8
# BaInPb2 | Alexandria via LeMat-Bulk | PBE-GGA | optimized geometry
data_BaInPb2
_cell_length_a 5.6912
_cell_length_b 5.6912
_cell_length_c 6.2099
_cell_angle_alpha 108.53
_cell_angle_beta 108.53
_cell_angle_gamma 49.04
_space_group_name_H-M_alt 'P 1'
_space_group_IT_number 1
loop_
_space_group_symop_operation_xyz
'x,y,z'
loop_
_atom_site_label
_atom_site_type_symbol
_atom_site_fract_x
_atom_site_fract_y
_atom_site_fract_z
Ba1 Ba 0.0000 0.0000 0.0000
In1 In 0.2380 0.2380 0.6778
Pb1 Pb 0.5046 0.5046 0.5145
Pb2 Pb 0.7654 0.7654 0.3270
# E_form (eV per atom): -0.304
# Uncorrected energy (eV per atom): -3.324
# N(E_F) (states/eV/f.u.): 1.790



# 9
# BaIn4Pb15 | Alexandria via LeMat-Bulk | PBE-GGA | optimized geometry
data_BaIn4Pb15
_cell_length_a 5.0901
_cell_length_b 5.0901
_cell_length_c 24.2084
_cell_angle_alpha 90.00
_cell_angle_beta 90.00
_cell_angle_gamma 90.00
_space_group_name_H-M_alt 'P 1'
_space_group_IT_number 1
loop_
_space_group_symop_operation_xyz
'x,y,z'
loop_
_atom_site_label
_atom_site_type_symbol
_atom_site_fract_x
_atom_site_fract_y
_atom_site_fract_z
Ba1 Ba 0.0000 0.0000 0.0000
In1 In 0.0000 0.0000 0.2013
In2 In 0.0000 0.0000 0.4008
In3 In 0.0000 0.0000 0.5992
In4 In 0.0000 0.0000 0.7987
Pb1 Pb 0.0000 0.5000 0.1095
Pb2 Pb 0.0000 0.5000 0.3022
Pb3 Pb 0.0000 0.5000 0.5000
Pb4 Pb 0.0000 0.5000 0.6978
Pb5 Pb 0.0000 0.5000 0.8905
Pb6 Pb 0.5000 0.0000 0.1095
Pb7 Pb 0.5000 0.0000 0.3022
Pb8 Pb 0.5000 0.0000 0.5000
Pb9 Pb 0.5000 0.0000 0.6978
Pb10 Pb 0.5000 0.0000 0.8905
Pb11 Pb 0.5000 0.5000 0.0000
Pb12 Pb 0.5000 0.5000 0.2057
Pb13 Pb 0.5000 0.5000 0.4002
Pb14 Pb 0.5000 0.5000 0.5998
Pb15 Pb 0.5000 0.5000 0.7943
# E_form (eV per atom): -0.035
# Uncorrected energy (eV per atom): -3.460
# N(E_F) (states/eV/f.u.): 16.195



# 10
# BaInPb2 | Alexandria via LeMat-Bulk | PBE-GGA | optimized geometry
data_BaInPb2
_cell_length_a 10.8163
_cell_length_b 10.8163
_cell_length_c 5.6118
_cell_angle_alpha 90.00
_cell_angle_beta 90.00
_cell_angle_gamma 153.60
_space_group_name_H-M_alt 'P 1'
_space_group_IT_number 1
loop_
_space_group_symop_operation_xyz
'x,y,z'
loop_
_atom_site_label
_atom_site_type_symbol
_atom_site_fract_x
_atom_site_fract_y
_atom_site_fract_z
Ba1 Ba 0.1031 0.8969 0.7500
Ba2 Ba 0.8969 0.1031 0.2500
In1 In 0.3301 0.6699 0.7500
In2 In 0.6699 0.3301 0.2500
Pb1 Pb 0.2565 0.7435 0.2500
Pb2 Pb 0.4700 0.5300 0.7500
Pb3 Pb 0.5300 0.4700 0.2500
Pb4 Pb 0.7435 0.2565 0.7500
# E_form (eV per atom): -0.332
# Uncorrected energy (eV per atom): -3.351
# N(E_F) (states/eV/f.u.): 1.993



# 11
# BaInPb2 | Alexandria via LeMat-Bulk | PBE-GGA | optimized geometry
data_BaInPb2
_cell_length_a 11.4902
_cell_length_b 11.4902
_cell_length_c 11.4902
_cell_angle_alpha 152.99
_cell_angle_beta 152.99
_cell_angle_gamma 38.56
_space_group_name_H-M_alt 'P 1'
_space_group_IT_number 1
loop_
_space_group_symop_operation_xyz
'x,y,z'
loop_
_atom_site_label
_atom_site_type_symbol
_atom_site_fract_x
_atom_site_fract_y
_atom_site_fract_z
Ba1 Ba 0.0000 0.0000 0.0000
Ba2 Ba 0.7500 0.2500 0.5000
In1 In 0.2500 0.7500 0.5000
In2 In 0.5000 0.5000 0.0000
Pb1 Pb 0.2079 0.6250 0.0829
Pb2 Pb 0.3750 0.4579 0.5829
Pb3 Pb 0.5421 0.1250 0.9171
Pb4 Pb 0.8750 0.7921 0.4171
# E_form (eV per atom): -0.170
# Uncorrected energy (eV per atom): -3.189
# N(E_F) (states/eV/f.u.): 1.081



# 12
# BaIn5Pb7 | Alexandria via LeMat-Bulk | PBE-GGA | optimized geometry
data_BaIn5Pb7
_cell_length_a 8.7227
_cell_length_b 8.7227
_cell_length_c 8.7227
_cell_angle_alpha 138.44
_cell_angle_beta 98.39
_cell_angle_gamma 96.07
_space_group_name_H-M_alt 'P 1'
_space_group_IT_number 1
loop_
_space_group_symop_operation_xyz
'x,y,z'
loop_
_atom_site_label
_atom_site_type_symbol
_atom_site_fract_x
_atom_site_fract_y
_atom_site_fract_z
Ba1 Ba 0.0000 0.0000 0.0000
In1 In 0.0034 0.0082 0.4952
In2 In 0.0034 0.5082 0.9952
In3 In 0.5130 0.0082 0.0048
In4 In 0.5130 0.5082 0.5048
In5 In 0.7905 0.2905 0.5000
Pb1 Pb 0.2194 0.5069 0.7124
Pb2 Pb 0.2235 0.7235 0.5000
Pb3 Pb 0.3603 0.3603 0.0000
Pb4 Pb 0.3634 0.0079 0.3555
Pb5 Pb 0.6458 0.6458 0.0000
Pb6 Pb 0.6525 0.0079 0.6445
Pb7 Pb 0.7945 0.5069 0.2876
# E_form (eV per atom): -0.091
# Uncorrected energy (eV per atom): -3.289
# N(E_F) (states/eV/f.u.): 6.522